[1]
ZrTa3Fe: relaxed, GGA-PBE.

a b c (Å): 4.6278 4.6278 4.6278
angles (deg): 90.00 90.00 90.00
Space group Pm-3m (No. 221)
One atom of each set of equivalent atoms:
1 Zr 0.0000 0.0000 0.0000 x1
2 Ta 0.0000 0.5000 0.5000 x3
3 Fe 0.5000 0.5000 0.5000 x1

Energy above the most stable polymorph in this dataset (eV/atom): 0.000
Formation enthalpy at 0 K (kcal/mol of atoms): 12.8
DOS at the Fermi energy (states/eV per cell): 6.1



[2]
LiLaPrOs: relaxed, GGA-PBE.

a b c (Å): 7.2382 7.2382 7.2382
angles (deg): 90.00 90.00 90.00
Space group F-43m (No. 216)
One atom of each set of equivalent atoms:
1 Li 0.0000 0.0000 0.0000 x4
2 La 0.2500 0.2500 0.2500 x4
3 Pr 0.2500 0.2500 0.7500 x4
4 Os 0.0000 0.0000 0.5000 x4

Formation enthalpy at 0 K (kcal/mol of atoms): -1.1
DOS at the Fermi energy (states/eV per cell): 9.7



[3]
NaYO: relaxed, GGA-PBE.

a b c (Å): 3.6961 3.6961 6.6421
angles (deg): 90.00 90.00 120.00
Space group P3m1 (No. 156)
One atom of each set of equivalent atoms:
1 Na 0.0000 0.0000 0.0000 x1
2 Y 0.6667 0.3333 0.4652 x1
3 O 0.3333 0.6667 0.5432 x1

Energy above the most stable polymorph in this dataset (eV/atom): 0.061
Energy relative to the elements, uncorrected (eV/atom): -1.686
DOS at the Fermi energy (states/eV per cell): 1.0



[4]
CaNd6Tm12: relaxed, GGA-PBE.

a b c (Å): 14.8647 14.8647 10.5656
angles (deg): 90.00 90.00 120.00
Space group R-3m (No. 166, hexagonal axes)
One atom of each set of equivalent atoms:
1 Ca 0.0000 0.0000 0.0000 x3
2 Nd 0.0719 0.5360 0.2229 x18
3 Tm 0.0000 0.3877 0.5000 x18
4 Tm 0.0794 0.1588 0.2563 x18

Formation enthalpy at 0 K (kcal/mol of atoms): 10.5
DOS at the Fermi energy (states/eV per cell): 86.7



[5]
DyTm2Cd: relaxed, GGA-PBE.

a b c (Å): 4.8068 4.8068 4.7993
angles (deg): 90.00 90.00 90.00
Space group P4/mmm (No. 123)
One atom of each set of equivalent atoms:
1 Dy 0.0000 0.0000 0.0000 x1
2 Tm 0.0000 0.5000 0.5000 x2
3 Cd 0.5000 0.5000 0.0000 x1

Energy above the most stable polymorph in this dataset (eV/atom): 0.061
Formation enthalpy at 0 K (kcal/mol of atoms): -2.0
DOS at the Fermi energy (states/eV per cell): 5.2



[6]
CeSm12Ho3: relaxed, GGA-PBE.

a b c (Å): 5.0963 5.0963 20.3785
angles (deg): 90.00 90.00 90.00
Space group P4/mmm (No. 123)
One atom of each set of equivalent atoms:
1 Ce 0.0000 0.0000 0.0000 x1
2 Sm 0.0000 0.5000 0.1242 x4
3 Sm 0.0000 0.5000 0.3747 x4
4 Sm 0.5000 0.5000 0.0000 x1
5 Sm 0.5000 0.5000 0.2514 x2
6 Sm 0.5000 0.5000 0.5000 x1
7 Ho 0.0000 0.0000 0.2495 x2
8 Ho 0.0000 0.0000 0.5000 x1

Formation enthalpy at 0 K (kcal/mol of atoms): 0.7
DOS at the Fermi energy (states/eV per cell): 25.7



[7]
YTmH: relaxed, GGA-PBE.

a b c (Å): 3.5995 3.5995 5.5265
angles (deg): 90.00 90.00 120.00
Space group P3m1 (No. 156)
One atom of each set of equivalent atoms:
1 Y 0.0000 0.0000 0.0000 x1
2 Tm 0.3333 0.6667 0.4906 x1
3 H 0.6667 0.3333 0.2481 x1

Energy above the most stable polymorph in this dataset (eV/atom): 0.052
DOS at the Fermi energy (states/eV per cell): 3.0



[8]
ZnRuW2: relaxed, GGA-PBE.

a b c (Å): 2.7905 2.7905 27.3284
angles (deg): 90.00 90.00 120.00
Space group R3m (No. 160, hexagonal axes)
One atom of each set of equivalent atoms:
1 Zn 0.0000 0.0000 0.0000 x3
2 Ru 0.0000 0.0000 0.7476 x3
3 W 0.0000 0.0000 0.2490 x3
4 W 0.0000 0.0000 0.4927 x3

Formation enthalpy at 0 K (kcal/mol of atoms): 4.5
DOS at the Fermi energy (states/eV per cell): 8.1